1.
# Al2PAu | Alexandria | PBEsol | optimized geometry
data_Al2PAu
_cell_length_a 3.338
_cell_length_b 3.471
_cell_length_c 6.253
_cell_angle_alpha 106.11
_cell_angle_beta 105.48
_cell_angle_gamma 90.00
_space_group_name_H-M_alt 'P 1'
_space_group_IT_number 1
_space_group_name_Hall 'P 1'
loop_
_atom_site_label
_atom_site_fract_x
_atom_site_fract_y
_atom_site_fract_z
_atom_site_occupancy
Al1 0.722 0.222 0.443 1
Al2 0.948 0.948 0.896 1
P1 0.285 0.785 0.571 1
Au1 0.545 0.545 0.089 1
# - space-group type = Imm2
# - ΔE_f (eV/f.u.) = -0.84

=====

2.
# AlPb2Au | Alexandria | PBEsol | optimized geometry
data_AlPb2Au
_cell_length_a 4.108
_cell_length_b 4.288
_cell_length_c 5.776
_cell_angle_alpha 111.23
_cell_angle_beta 90.00
_cell_angle_gamma 90.00
_space_group_name_H-M_alt 'P 1'
_space_group_IT_number 1
_space_group_name_Hall 'P 1'
loop_
_atom_site_label
_atom_site_fract_x
_atom_site_fract_y
_atom_site_fract_z
_atom_site_occupancy
Pb1 0.000 0.901 0.930 1
Pb2 0.500 0.599 0.322 1
Au1 0.500 0.319 0.764 1
Al1 0.000 0.181 0.484 1
# - space-group type = Pm
# - ΔE_f (eV/f.u.) = -0.12

=====

3.
# AlPbAu2 | Alexandria | PBEsol | optimized geometry
data_AlPbAu2
_cell_length_a 3.155
_cell_length_b 3.155
_cell_length_c 7.793
_cell_angle_alpha 90.00
_cell_angle_beta 89.79
_cell_angle_gamma 90.00
_space_group_name_H-M_alt 'P 1'
_space_group_IT_number 1
_space_group_name_Hall 'P 1'
loop_
_atom_site_label
_atom_site_fract_x
_atom_site_fract_y
_atom_site_fract_z
_atom_site_occupancy
Au1 0.998 0.000 0.693 1
Au2 0.002 0.000 0.307 1
Al1 0.500 0.500 0.500 1
Pb1 0.500 0.500 0.000 1
# - space-group type = P2/m
# - ΔE_f (eV/f.u.) = -0.76

=====

| no. | theoretical density (g/cm3) | total magnetization (μB/f.u.) |
| --- | --- | --- |
| 1 | 7.00 | 0.000 |
| 2 | 11.18 | 0.000 |
| 3 | 13.45 | 0.000 |